This record from Alexandria via LeMat-Bulk describes an optimized crystal structure of TlCo2Sb. The functional is PBE.

Values from the calculation:
ΔE_f (raw): 0.41 eV/atom
calculated total energy: -4.769 eV per atom
crystal system: orthorhombic
energy above the lowest structure with this stoichiometry: 14.9 kJ per mole of atoms

The structure in CIF format:
```
data_TlCo2Sb
_symmetry_space_group_name_H-M 'I m m 2'
_symmetry_Int_Tables_number 44
_cell_length_a 3.123
_cell_length_b 3.891
_cell_length_c 11.666
_cell_angle_alpha 90.00
_cell_angle_beta 90.00
_cell_angle_gamma 90.00
loop_
_symmetry_equiv_pos_as_xyz
'x,y,z'
'-x,-y,z'
'-x,y,z'
'x,-y,z'
'x+1/2,y+1/2,z+1/2'
'-x+1/2,-y+1/2,z+1/2'
'-x+1/2,y+1/2,z+1/2'
'x+1/2,-y+1/2,z+1/2'
loop_
_atom_site_label
_atom_site_type_symbol
_atom_site_fract_x
_atom_site_fract_y
_atom_site_fract_z
Tl1 Tl 0.000 0.000 0.000
Co1 Co 0.000 0.000 0.576
Co2 Co 0.000 0.500 0.823
Sb1 Sb 0.000 0.500 0.248
```